# 1
Ba8Ag2Ru | PBE-GGA | relaxed

a b c (Å): 8.3724 8.7320 8.7269
angles (deg): 89.57 118.67 90.00
With the nearest neighbours (Å) after each atom.
Fractional positions:
Ru  0.0000  0.0000  0.0000  6 Ba 2.97-3.12
Ba  0.2048  0.2363  0.9191  1 Ru 2.97
Ag  0.0933  0.4552  0.1866  1 Ag 2.96
Ba  0.7143  0.2363  0.9191  1 Ru 2.97
Ba  0.7036  0.4020  0.4072  1 Ag 3.36
Ba  0.7952  0.7637  0.0809  1 Ru 2.97
Ba  0.8062  0.8943  0.6124  1 Ru 3.12, 1 Ag 3.41
Ag  0.9067  0.5448  0.8134  1 Ag 2.96
Ba  0.2857  0.7637  0.0809  1 Ru 2.97
Ba  0.2964  0.5980  0.5928  1 Ag 3.36
Ba  0.1938  0.1057  0.3876  1 Ru 3.12, 1 Ag 3.41

Results
- Formation enthalpy at 0 K: -12 meV/atom
- Space-group type: C2/m
- Electronic total energy: -2.77 eV per atom

=====

# 2
BaAg2Ru | PBE-GGA | relaxed

a b c (Å): 5.5143 5.5143 5.5143
angles (deg): 131.98 131.98 70.26
With the nearest neighbours (Å) after each atom.
Fractional positions:
Ru  0.7500  0.2500  0.5000  8 Ag 3.17-3.18, 4 Ba 3.18
Ag  0.0000  0.0000  0.0000  4 Ba 3.17, 4 Ru 3.18, 4 Ag 3.18
Ba  0.5000  0.5000  0.0000  8 Ag 3.17-3.18, 4 Ru 3.18
Ag  0.2500  0.7500  0.5000  4 Ru 3.17, 4 Ba 3.18, 4 Ag 3.18

Results
- Formation enthalpy at 0 K: 589 meV/atom
- Space-group type: I-4m2
- Electronic total energy: -3.64 eV per atom

=====

# 3
BaAg2Ru | PBE-GGA | relaxed

a b c (Å): 5.0841 5.0841 9.9897
angles (deg): 75.26 75.26 90.00
With the nearest neighbours (Å) after each atom.
Fractional positions:
Ru  0.2500  0.7500  0.5000  4 Ag 2.68
Ru  0.5000  0.5000  0.0000  4 Ag 2.68
Ag  0.8750  0.6974  0.7500  2 Ag 2.65, 2 Ru 2.68
Ag  0.3026  0.6250  0.2500  2 Ag 2.65, 2 Ru 2.68
Ag  0.4474  0.1250  0.2500  2 Ag 2.65, 2 Ru 2.68
Ba  0.7500  0.2500  0.5000  4 Ag 3.43, 4 Ru 3.59
Ba  0.0000  0.0000  0.0000  4 Ag 3.43, 4 Ru 3.59
Ag  0.3750  0.5526  0.7500  2 Ag 2.65, 2 Ru 2.68

Results
- Formation enthalpy at 0 K: 599 meV/atom
- Space-group type: I-42d
- Electronic total energy: -3.63 eV per atom

=====

# 4
BaAg2Ru | PBE-GGA | relaxed

a b c (Å): 5.7057 5.7057 5.7057
angles (deg): 135.19 135.19 65.24
With the nearest neighbours (Å) after each atom.
Fractional positions:
Ru  0.7500  0.2500  0.5000  4 Ba 3.08, 8 Ag 3.24
Ba  0.2500  0.7500  0.5000  4 Ru 3.08, 8 Ag 3.24
Ag  0.0000  0.0000  0.0000  4 Ag 3.08, 4 Ba 3.24, 4 Ru 3.24
Ag  0.5000  0.5000  0.0000  4 Ag 3.08, 4 Ru 3.24, 4 Ba 3.24

Results
- Formation enthalpy at 0 K: 583 meV/atom
- Space-group type: I4/mmm
- Electronic total energy: -3.64 eV per atom

=====

# 5
BaAg2Ru | PBE-GGA | relaxed

a b c (Å): 4.7047 4.7047 6.1663
angles (deg): 67.48 67.48 59.97
With the nearest neighbours (Å) after each atom.
Fractional positions:
Ag  0.9886  0.9886  0.0333  3 Ru 2.72, 3 Ag 2.79
Ru  0.3177  0.3177  0.0457  6 Ag 2.72-2.80, 1 Ba 3.02
Ag  0.6929  0.6929  0.9206  3 Ag 2.79, 3 Ru 2.80
Ba  0.5008  0.5008  0.5004  1 Ru 3.02, 1 Ag 3.21

Results
- Formation enthalpy at 0 K: 301 meV/atom
- Space-group type: Cm
- Electronic total energy: -3.92 eV per atom

=====

# 6
BaAg2Ru | PBE-GGA | relaxed

a b c (Å): 10.5167 10.5167 10.5167
angles (deg): 16.98 16.98 16.98
With the nearest neighbours (Å) after each atom.
Fractional positions:
Ru  0.7500  0.7500  0.7500  6 Ag 2.84, 6 Ru 3.10
Ag  0.4875  0.4875  0.4875  3 Ru 2.84, 6 Ag 3.10
Ag  0.0125  0.0125  0.0125  3 Ru 2.84, 6 Ag 3.10
Ba  0.2500  0.2500  0.2500  6 Ba 3.10, 6 Ag 3.48

Results
- Formation enthalpy at 0 K: 830 meV/atom
- Space-group type: R-3m
- Electronic total energy: -3.40 eV per atom

=====

# 7
BaAg2Ru | PBE-GGA | relaxed

a b c (Å): 4.6024 3.3287 6.1911
angles (deg): 87.08 90.00 90.00
With the nearest neighbours (Å) after each atom.
Fractional positions:
Ba  0.0000  0.6000  0.4904  6 Ag 3.18-3.38, 2 Ru 3.22, 2 Ba 3.33
Ag  0.5000  0.1269  0.2103  2 Ru 2.76-2.78, 2 Ag 2.82
Ru  0.5000  0.6571  0.8522  6 Ag 2.76-2.96
Ag  0.0000  0.1160  0.9471  2 Ag 2.82, 4 Ru 2.84-2.96

Results
- Formation enthalpy at 0 K: 539 meV/atom
- Space-group type: Pm
- Electronic total energy: -3.69 eV per atom

=====

# 8
BaAg2Ru | PBE-GGA | relaxed

a b c (Å): 5.0172 5.0172 5.0172
angles (deg): 60.00 60.00 60.00
With the nearest neighbours (Å) after each atom.
Fractional positions:
Ru  0.7500  0.7500  0.7500  4 Ba 3.07, 4 Ag 3.07
Ag  0.0000  0.0000  0.0000  4 Ru 3.07, 4 Ag 3.07
Ba  0.5000  0.5000  0.5000  4 Ru 3.07, 4 Ag 3.07
Ag  0.2500  0.2500  0.2500  4 Ba 3.07, 4 Ag 3.07

Results
- Formation enthalpy at 0 K: 635 meV/atom
- Space-group type: F-43m
- Electronic total energy: -3.59 eV per atom